Compound: Zr2PdAu2
Source: Alexandria
Functional: PBE
Structure: relaxed

Summary:
Energy of formation in eV/atom: -0.25
Symmetry: P4/mbm, No. 127

a = 8.1140 Å, b = 8.1140 Å, c = 3.0996 Å
α = 90.00°, β = 90.00°, γ = 90.00°
Fractional coordinates of all 10 atoms:
Au 0.1270 0.6270 0.5000
Au 0.3730 0.1270 0.5000
Au 0.8730 0.3730 0.5000
Pd 0.5000 0.5000 0.0000
Zr 0.6714 0.1714 0.0000
Zr 0.3286 0.8286 0.0000
Zr 0.1714 0.3286 0.0000
Pd 0.0000 0.0000 0.0000
Au 0.6270 0.8730 0.5000
Zr 0.8286 0.6714 0.0000

Compound: Ga6Ir5Rh
Source: Alexandria
Functional: PBE
Structure: relaxed

Summary:
Energy of formation in eV/atom: -0.44
Symmetry: Cmmm, No. 65

a = 4.3299 Å, b = 6.0918 Å, c = 6.8422 Å
α = 90.00°, β = 71.55°, γ = 90.00°
Fractional coordinates of all 12 atoms:
Ga 0.5000 0.2482 0.0000
Ir 0.3331 0.5000 0.3338
Ga 0.8341 0.7512 0.3317
Ga 0.5000 0.7518 0.0000
Ir 0.3332 0.0000 0.3336
Rh 0.0000 0.0000 0.0000
Ir 0.6668 0.0000 0.6664
Ga 0.8341 0.2488 0.3317
Ga 0.1659 0.7512 0.6683
Ir 0.6669 0.5000 0.6662
Ga 0.1659 0.2488 0.6683
Ir 0.0000 0.5000 0.0000

Compound: CsCdIn2Pb4
Source: Alexandria
Functional: PBE
Structure: relaxed

Summary:
Energy of formation in eV/atom: -0.02
Symmetry: R-3m, No. 166

a = 5.5483 Å, b = 5.5483 Å, c = 11.0706 Å
α = 75.49°, β = 75.49°, γ = 60.00°
Fractional coordinates of all 8 atoms:
Pb 0.5907 0.5907 0.2280
Pb 0.1310 0.1310 0.6071
In 0.7633 0.7633 0.7100
Cs 0.0000 0.0000 0.0000
In 0.2367 0.2367 0.2900
Pb 0.4093 0.4093 0.7720
Pb 0.8690 0.8690 0.3929
Cd 0.5000 0.5000 0.5000

Compound: AgHg2Br
Source: Alexandria
Functional: PBE
Structure: relaxed

Summary:
Symmetry: P4/mmm, No. 123
Final energy in eV for the cell shown: -4.7

a = 5.2757 Å, b = 5.2757 Å, c = 3.5928 Å
α = 90.00°, β = 90.00°, γ = 90.00°
Fractional coordinates of all 4 atoms:
Hg 0.0000 0.0000 0.0000
Hg 0.5000 0.5000 0.0000
Ag 0.5000 0.0000 0.5000
Br 0.0000 0.5000 0.5000

Compound: Cu3NiI6
Source: Alexandria
Functional: PBE
Structure: relaxed

Summary:
Symmetry: R-3, No. 148
Final energy in eV for the cell shown: -54.5

a = 8.3820 Å, b = 8.3820 Å, c = 8.3820 Å
α = 92.25°, β = 92.25°, γ = 92.25°
Each line ends with the local moment (μB).
Fractional coordinates of all 20 atoms:
I 0.3553 0.2146 0.5805  0.03
I 0.6935 0.0495 0.9143  0.03
Ni 0.5000 0.5000 0.5000  0.85
I 0.0495 0.9143 0.6935  0.03
I 0.6447 0.7854 0.4195  0.03
I 0.9505 0.0857 0.3065  0.03
I 0.2146 0.5805 0.3553  0.03
I 0.0857 0.3065 0.9505  0.03
I 0.7854 0.4195 0.6447  0.03
Cu 0.9634 0.7707 0.3713  -0.02
I 0.9143 0.6935 0.0495  0.03
Cu 0.3713 0.9634 0.7707  -0.02
Ni 0.0000 0.0000 0.0000  0.69
Cu 0.7707 0.3713 0.9634  -0.02
I 0.4195 0.6447 0.7854  0.03
Cu 0.2293 0.6287 0.0366  -0.02
I 0.5805 0.3553 0.2146  0.03
I 0.3065 0.9505 0.0857  0.03
Cu 0.6287 0.0366 0.2293  -0.02
Cu 0.0366 0.2293 0.6287  -0.02

Compound: TlRePO2
Source: Alexandria
Functional: PBE
Structure: relaxed

Summary:
Symmetry: P4/mmm, No. 123
Final energy in eV for the cell shown: -33.6

a = 3.8787 Å, b = 3.8787 Å, c = 5.1487 Å
α = 90.00°, β = 90.00°, γ = 90.00°
Fractional coordinates of all 5 atoms:
Re 0.0000 0.0000 0.0000
Tl 0.5000 0.5000 0.5000
P 0.0000 0.0000 0.5000
O 0.0000 0.5000 0.0000
O 0.5000 0.0000 0.0000

Compound: Zr2NiAs
Source: Alexandria
Functional: PBE
Structure: relaxed

Summary:
Energy of formation in eV/atom: 0.09
Symmetry: F-43m, No. 216

a = 4.6527 Å, b = 4.6527 Å, c = 4.6527 Å
α = 60.00°, β = 60.00°, γ = 60.00°
Each line ends with the local moment (μB).
Fractional coordinates of all 4 atoms:
Zr 0.0000 0.0000 0.0000  0.14
Zr 0.2500 0.2500 0.2500  0.16
As 0.5000 0.5000 0.5000  -0.01
Ni 0.7500 0.7500 0.7500  0.06

Compound: KBaZn2
Source: Alexandria
Functional: PBE
Structure: relaxed

Summary:
Energy of formation in eV/atom: 0.23
Symmetry: I-42d, No. 122

a = 9.0756 Å, b = 9.0756 Å, c = 7.4854 Å
α = 52.68°, β = 52.68°, γ = 90.00°
Fractional coordinates of all 8 atoms:
K 0.5000 0.5000 0.0000
K 0.2500 0.7500 0.5000
Zn 0.8750 0.8715 0.7500
Zn 0.1285 0.6250 0.2500
Zn 0.6215 0.1250 0.2500
Ba 0.0000 0.0000 0.0000
Ba 0.7500 0.2500 0.5000
Zn 0.3750 0.3785 0.7500

Compound: MgCrNiSn
Source: Alexandria
Functional: PBE
Structure: relaxed

Summary:
Energy of formation in eV/atom: 0.02
Symmetry: F-43m, No. 216

a = 4.5165 Å, b = 4.5165 Å, c = 4.5165 Å
α = 60.00°, β = 60.00°, γ = 60.00°
Each line ends with the local moment (μB).
Fractional coordinates of all 4 atoms:
Ni 0.0000 0.0000 0.0000  0.21
Sn 0.2500 0.2500 0.2500  -0.07
Mg 0.7500 0.7500 0.7500  0.00
Cr 0.5000 0.5000 0.5000  3.46

Compound: SrN3F12
Source: Alexandria
Functional: PBE
Structure: relaxed

Summary:
Symmetry: R3c, No. 161
Final energy in eV for the cell shown: -127.7

a = 7.7817 Å, b = 7.7817 Å, c = 13.5739 Å
α = 73.34°, β = 73.34°, γ = 60.00°
Each line ends with the local moment (μB).
Fractional coordinates of all 32 atoms:
F 0.9857 0.3245 0.8579  0.29
F 0.4810 0.7033 0.5662  0.00
Sr 0.5780 0.5780 0.2659  -0.01
F 0.3245 0.8319 0.8579  0.29
F 0.9177 0.4868 0.1109  0.00
F 0.6051 0.8958 0.4601  0.00
F 0.0390 0.6051 0.4601  0.00
F 0.9868 0.4177 0.6109  0.00
N 0.4275 0.9046 0.5204  0.00
N 0.9046 0.1475 0.5204  0.00
F 0.1051 0.5390 0.9601  0.00
F 0.5390 0.3958 0.9601  0.00
F 0.8958 0.0390 0.4601  0.00
F 0.8319 0.9857 0.8579  0.29
F 0.3958 0.1051 0.9601  0.00
N 0.6475 0.4046 0.0204  0.00
Sr 0.0780 0.0780 0.7659  -0.01
N 0.9275 0.6475 0.0204  0.00
F 0.7033 0.2495 0.5662  0.00
F 0.3319 0.8245 0.3579  0.29
F 0.9810 0.7495 0.0662  0.00
N 0.1475 0.4275 0.5204  0.00
F 0.4868 0.4846 0.1109  0.00
F 0.7495 0.2033 0.0662  0.00
F 0.8245 0.4857 0.3579  0.29
F 0.2033 0.9810 0.0662  0.00
F 0.4177 0.9846 0.6109  0.00
F 0.2495 0.4810 0.5662  0.00
F 0.4846 0.9177 0.1109  0.00
N 0.4046 0.9275 0.0204  0.00
F 0.9846 0.9868 0.6109  0.00
F 0.4857 0.3319 0.3579  0.29

Compound: Er5Rh2Se2
Source: Alexandria
Functional: PBE
Structure: relaxed

Summary:
Symmetry: Cmce, No. 64
Final energy in eV for the cell shown: -110.1

a = 7.5269 Å, b = 7.5502 Å, c = 8.3422 Å
α = 116.91°, β = 90.00°, γ = 90.00°
Fractional coordinates of all 18 atoms:
Er 0.3431 0.9638 0.2505
Er 0.6569 0.2867 0.2505
Er 0.8431 0.7867 0.2505
Rh 0.8620 0.3598 0.0000
Er 0.5000 0.5000 0.0000
Rh 0.1380 0.6402 0.0000
Se 0.5000 0.7085 0.4170
Er 0.6569 0.0362 0.7495
Er 0.0000 0.0000 0.0000
Se 0.0000 0.7915 0.5830
Er 0.1569 0.2133 0.7495
Er 0.1569 0.4638 0.2505
Rh 0.6380 0.8598 0.0000
Se 0.5000 0.2915 0.5830
Er 0.8431 0.5362 0.7495
Se 0.0000 0.2085 0.4170
Rh 0.3620 0.1402 0.0000
Er 0.3431 0.7133 0.7495

Compound: ReTeMo2
Source: Alexandria
Functional: PBE
Structure: relaxed

Summary:
Symmetry: Imm2, No. 44
Final energy in eV for the cell shown: -35.4

a = 5.3835 Å, b = 5.3835 Å, c = 5.3835 Å
α = 145.10°, β = 130.99°, γ = 61.57°
Fractional coordinates of all 4 atoms:
Mo 0.7455 0.2455 0.5000
Te 0.2520 0.7520 0.5000
Re 0.4925 0.4925 0.0000
Mo 0.0100 0.0100 0.0000